Entry 1:
Material: TcSbPd3
Method: DFT, PBE
State: optimized geometry

Values from the calculation:
Energy above the lowest structure with this stoichiometry, eV/atom: 0.074
Mass density, g/cm3: 8.09
ΔE_f (raw), meV per atom: 1016.7
Magnetic moment, Bohr magnetons per cell: 0.0

CIF file:
```
data_TcSbPd3
_chemical_formula_sum 'Tc1 Sb1 Pd3'
_cell_length_a 4.800
_cell_length_b 4.800
_cell_length_c 4.800
_cell_angle_alpha 90.00
_cell_angle_beta 90.00
_cell_angle_gamma 90.00
_symmetry_space_group_name_H-M 'P m -3 m'
_symmetry_Int_Tables_number 221
_symmetry_space_group_name_Hall '-P 4 2 3'
loop_
_atom_site_label
_atom_site_type_symbol
_atom_site_fract_x
_atom_site_fract_y
_atom_site_fract_z
_atom_site_occupancy
Tc1 Tc 0.000 0.000 0.000 1
Sb1 Sb 0.500 0.500 0.500 1
Pd1 Pd 0.000 0.000 0.500 1
```

Entry 2:
Material: TcSb6Pd
Method: DFT, PBE
State: optimized geometry

Values from the calculation:
Energy above the lowest structure with this stoichiometry, eV/atom: 0.296
Mass density, g/cm3: 7.40
ΔE_f (raw), meV per atom: 157.2
Magnetic moment, Bohr magnetons per cell: 0.0

CIF file:
```
data_TcSb6Pd
_chemical_formula_sum 'Tc2 Sb12 Pd2'
_cell_length_a 6.978
_cell_length_b 9.336
_cell_length_c 6.630
_cell_angle_alpha 90.00
_cell_angle_beta 103.73
_cell_angle_gamma 90.00
_symmetry_space_group_name_H-M 'C 1 2/m 1'
_symmetry_Int_Tables_number 12
_symmetry_space_group_name_Hall '-C 2y'
loop_
_atom_site_label
_atom_site_type_symbol
_atom_site_fract_x
_atom_site_fract_y
_atom_site_fract_z
_atom_site_occupancy
Tc1 Tc 0.000 0.000 0.000 1
Sb1 Sb 0.176 0.500 0.166 1
Sb2 Sb 0.208 0.179 0.278 1
Pd1 Pd 0.000 0.500 0.500 1
```

Entry 3:
Material: TcSbTe2Pd
Method: DFT, PBE
State: optimized geometry

Values from the calculation:
Energy above the lowest structure with this stoichiometry, eV/atom: 0.253
Mass density, g/cm3: 6.68
ΔE_f (raw), meV per atom: 956.1
Magnetic moment, Bohr magnetons per cell: 3.7

CIF file:
```
data_TcSbTe2Pd
_chemical_formula_sum 'Tc1 Sb1 Te2 Pd1'
_cell_length_a 5.331
_cell_length_b 5.331
_cell_length_c 5.088
_cell_angle_alpha 90.00
_cell_angle_beta 90.00
_cell_angle_gamma 90.00
_symmetry_space_group_name_H-M 'P 4/m m m'
_symmetry_Int_Tables_number 123
_symmetry_space_group_name_Hall '-P 4 2'
loop_
_atom_site_label
_atom_site_type_symbol
_atom_site_fract_x
_atom_site_fract_y
_atom_site_fract_z
_atom_site_occupancy
Tc1 Tc 0.000 0.000 0.000 1
Sb1 Sb 0.500 0.500 0.000 1
Te1 Te 0.000 0.500 0.500 1
Pd1 Pd 0.500 0.500 0.500 1
```

Entry 4:
Material: TcSbTe2Pd
Method: DFT, PBE
State: optimized geometry

Values from the calculation:
Energy above the lowest structure with this stoichiometry, eV/atom: 0.000
Mass density, g/cm3: 7.02
ΔE_f (raw), meV per atom: 703.3
Magnetic moment, Bohr magnetons per cell: 0.0

CIF file:
```
data_TcSbTe2Pd
_chemical_formula_sum 'Tc1 Sb1 Te2 Pd1'
_cell_length_a 5.198
_cell_length_b 5.198
_cell_length_c 5.087
_cell_angle_alpha 90.00
_cell_angle_beta 90.00
_cell_angle_gamma 90.00
_symmetry_space_group_name_H-M 'P 4/m m m'
_symmetry_Int_Tables_number 123
_symmetry_space_group_name_Hall '-P 4 2'
loop_
_atom_site_label
_atom_site_type_symbol
_atom_site_fract_x
_atom_site_fract_y
_atom_site_fract_z
_atom_site_occupancy
Tc1 Tc 0.000 0.000 0.000 1
Sb1 Sb 0.000 0.000 0.500 1
Te1 Te 0.000 0.500 0.000 1
Pd1 Pd 0.500 0.500 0.500 1
```

Entry 5:
Material: TcSb2TePd
Method: DFT, PBE
State: optimized geometry

Values from the calculation:
Energy above the lowest structure with this stoichiometry, eV/atom: 0.302
Mass density, g/cm3: 6.75
ΔE_f (raw), meV per atom: 966.5
Magnetic moment, Bohr magnetons per cell: 3.4

CIF file:
```
data_TcSb2TePd
_chemical_formula_sum 'Tc1 Sb2 Te1 Pd1'
_cell_length_a 5.144
_cell_length_b 5.144
_cell_length_c 5.349
_cell_angle_alpha 90.00
_cell_angle_beta 90.00
_cell_angle_gamma 90.00
_symmetry_space_group_name_H-M 'P 4/m m m'
_symmetry_Int_Tables_number 123
_symmetry_space_group_name_Hall '-P 4 2'
loop_
_atom_site_label
_atom_site_type_symbol
_atom_site_fract_x
_atom_site_fract_y
_atom_site_fract_z
_atom_site_occupancy
Tc1 Tc 0.000 0.000 0.000 1
Sb1 Sb 0.000 0.500 0.500 1
Te1 Te 0.500 0.500 0.000 1
Pd1 Pd 0.500 0.500 0.500 1
```

Entry 6:
Material: TcSb2TePd
Method: DFT, PBE
State: optimized geometry

Values from the calculation:
Energy above the lowest structure with this stoichiometry, eV/atom: 0.000
Mass density, g/cm3: 7.06
ΔE_f (raw), meV per atom: 664.5
Magnetic moment, Bohr magnetons per cell: 0.0

CIF file:
```
data_TcSb2TePd
_chemical_formula_sum 'Tc1 Sb2 Te1 Pd1'
_cell_length_a 5.098
_cell_length_b 5.098
_cell_length_c 5.211
_cell_angle_alpha 90.00
_cell_angle_beta 90.00
_cell_angle_gamma 90.00
_symmetry_space_group_name_H-M 'P 4/m m m'
_symmetry_Int_Tables_number 123
_symmetry_space_group_name_Hall '-P 4 2'
loop_
_atom_site_label
_atom_site_type_symbol
_atom_site_fract_x
_atom_site_fract_y
_atom_site_fract_z
_atom_site_occupancy
Tc1 Tc 0.000 0.000 0.000 1
Sb1 Sb 0.000 0.500 0.000 1
Te1 Te 0.000 0.000 0.500 1
Pd1 Pd 0.500 0.500 0.500 1
```

Entry 7:
Material: TiTcSbPd
Method: DFT, PBE
State: optimized geometry

Values from the calculation:
Mass density, g/cm3: 9.40
ΔE_f (raw), meV per atom: -269.2
Magnetic moment, Bohr magnetons per cell: 0.0

CIF file:
```
data_TiTcSbPd
_chemical_formula_sum 'Ti4 Tc4 Sb4 Pd4'
_cell_length_a 6.417
_cell_length_b 6.417
_cell_length_c 6.417
_cell_angle_alpha 90.00
_cell_angle_beta 90.00
_cell_angle_gamma 90.00
_symmetry_space_group_name_H-M 'F -4 3 m'
_symmetry_Int_Tables_number 216
_symmetry_space_group_name_Hall 'F -4 2 3'
loop_
_atom_site_label
_atom_site_type_symbol
_atom_site_fract_x
_atom_site_fract_y
_atom_site_fract_z
_atom_site_occupancy
Ti1 Ti 0.000 0.000 0.000 1
Tc1 Tc 0.250 0.250 0.250 1
Sb1 Sb 0.000 0.000 0.500 1
Pd1 Pd 0.250 0.250 0.750 1
```

Entry 8:
Material: UTcSbPd
Method: DFT, PBE
State: optimized geometry

Values from the calculation:
Mass density, g/cm3: 12.15
ΔE_f (raw), meV per atom: -76.0
Magnetic moment, Bohr magnetons per cell: 9.5

CIF file:
```
data_UTcSbPd
_chemical_formula_sum 'U4 Tc4 Sb4 Pd4'
_cell_length_a 6.757
_cell_length_b 6.757
_cell_length_c 6.757
_cell_angle_alpha 90.00
_cell_angle_beta 90.00
_cell_angle_gamma 90.00
_symmetry_space_group_name_H-M 'F -4 3 m'
_symmetry_Int_Tables_number 216
_symmetry_space_group_name_Hall 'F -4 2 3'
loop_
_atom_site_label
_atom_site_type_symbol
_atom_site_fract_x
_atom_site_fract_y
_atom_site_fract_z
_atom_site_occupancy
U1 U 0.000 0.000 0.000 1
Tc1 Tc 0.250 0.250 0.750 1
Sb1 Sb 0.000 0.000 0.500 1
Pd1 Pd 0.250 0.250 0.250 1
```

no.,total DFT energy (no corrections) (eV for the cell shown)
1,-25.0
2,-78.1
3,-21.2
4,-22.4
5,-22.1
6,-23.6
7,-114.6
8,-125.1